{"formula": "Nd6Zn5Hg", "functional": "GGA-PBE", "state": "relaxed", "spacegroup": "No. 71", "cell": [[5.047, -0.004, -1.415], [-3.779, 7.348, -3.793], [-0.192, -1.050, 9.029]], "species": ["Zn", "Zn", "Zn", "Zn", "Zn", "Nd", "Nd", "Nd", "Nd", "Nd", "Nd", "Hg"], "frac_coords": [[0.000, 0.332, 0.668], [0.500, 0.500, 0.500], [0.500, 0.168, 0.832], [0.500, 0.832, 0.168], [0.000, 0.668, 0.332], [0.241, 0.741, 0.741], [0.746, 0.576, 0.915], [0.254, 0.424, 0.085], [0.759, 0.259, 0.259], [0.746, 0.915, 0.576], [0.254, 0.085, 0.424], [0.000, 0.000, 0.000]]}

{"formula": "Nd5ZnHg2", "functional": "GGA-PBE", "state": "relaxed", "spacegroup": "No. 55", "cell": [[5.311, 0.000, 0.000], [0.000, 6.774, 0.000], [0.000, 0.000, 12.986]], "species": ["Hg", "Hg", "Hg", "Hg", "Nd", "Nd", "Nd", "Nd", "Nd", "Nd", "Nd", "Nd", "Nd", "Nd", "Zn", "Zn"], "frac_coords": [[0.500, 0.380, 0.358], [0.500, 0.120, 0.858], [0.500, 0.620, 0.642], [0.500, 0.880, 0.142], [0.000, 0.851, 0.719], [0.500, 0.845, 0.396], [0.000, 0.500, 0.500], [0.500, 0.655, 0.896], [0.000, 0.649, 0.219], [0.000, 0.351, 0.781], [0.000, 0.000, 0.000], [0.500, 0.155, 0.604], [0.000, 0.149, 0.281], [0.500, 0.345, 0.104], [0.000, 0.500, 0.000], [0.000, 0.000, 0.500]]}

{"formula": "Nd5ZnHg4", "functional": "GGA-PBE", "state": "relaxed", "spacegroup": "No. 123", "cell": [[-0.929, -3.674, 0.257], [1.949, -0.265, 3.249], [-15.732, 4.667, 9.816]], "species": ["Nd", "Nd", "Nd", "Nd", "Nd", "Hg", "Hg", "Hg", "Hg", "Zn"], "frac_coords": [[0.500, 0.500, 0.091], [0.500, 0.500, 0.703], [0.500, 0.500, 0.297], [0.500, 0.500, 0.500], [0.500, 0.500, 0.909], [0.000, 0.000, 0.193], [0.000, 0.000, 0.398], [0.000, 0.000, 0.807], [0.000, 0.000, 0.602], [0.000, 0.000, 0.000]]}

{"formula": "Nd4Zn2Hg5", "functional": "GGA-PBE", "state": "relaxed", "spacegroup": "No. 10", "cell": [[3.802, 0.000, 0.000], [0.000, 7.980, 0.505], [0.000, -0.141, 9.562]], "species": ["Nd", "Nd", "Nd", "Nd", "Zn", "Zn", "Hg", "Hg", "Hg", "Hg", "Hg"], "frac_coords": [[0.500, 0.203, 0.859], [0.500, 0.743, 0.606], [0.500, 0.257, 0.394], [0.500, 0.797, 0.141], [0.000, 0.939, 0.381], [0.000, 0.061, 0.619], [0.000, 0.136, 0.132], [0.000, 0.864, 0.868], [0.000, 0.412, 0.647], [0.000, 0.588, 0.353], [0.000, 0.500, 0.000]]}

no.,electronic total energy (eV per atom),energy of formation (eV/atom)
1,-3.2723,-0.33
2,-3.5069,-0.29
3,-3.0711,-0.44
4,-2.4774,-0.37